1.
An optimized crystal structure of LaTbGa4, computed with PBE-GGA.

Cell and atoms, written as POSCAR:
```
LaTbGa4
1.0
-4.124 -0.044 -1.130
0.755 -3.287 -2.629
0.220 -3.095 7.412
La Tb Ga
1 1 4
Direct
0.250 0.750 0.500
0.000 0.000 0.000
0.665 0.165 0.330
0.582 0.582 0.163
0.835 0.335 0.670
0.418 0.418 0.837
```

Output
DFT formation energy in kJ per mole of atoms: -64.2
Symmetry: I-4m2
Distance to the lowest polymorph of the same formula in meV/atom: 0
Magnetic moment in μB/atom: 0.00

2.
An optimized crystal structure of ZrMnBe3, computed with PBE-GGA.

Cell and atoms, written as POSCAR:
```
ZrMnBe3
1.0
-0.809 -2.345 3.108
-0.775 -3.014 -2.476
3.816 -1.110 0.156
Be Mn Zr
3 1 1
Direct
0.000 0.500 0.000
0.000 0.000 0.500
0.500 0.000 0.000
0.000 0.000 0.000
0.500 0.500 0.500
```

Output
DFT formation energy in kJ per mole of atoms: 19.8
Symmetry: Pm-3m
Magnetic moment in μB/atom: 0.00

3.
An optimized crystal structure of HfCdPb, computed with PBE-GGA.

Cell and atoms, written as POSCAR:
```
HfCdPb
1.0
3.303 0.000 0.000
-1.651 2.860 0.000
0.000 0.000 15.443
Hf Cd Pb
2 2 2
Direct
0.000 0.000 0.000
0.333 0.667 0.500
0.000 0.000 0.341
0.000 0.000 0.659
0.333 0.667 0.834
0.333 0.667 0.166
```

Output
DFT formation energy in kJ per mole of atoms: 10.1
Symmetry: P-6m2
Distance to the lowest polymorph of the same formula in meV/atom: 0
Magnetic moment in μB/atom: 0.00

4.
An optimized crystal structure of Fe6Co2Si, computed with PBE-GGA.

Cell and atoms, written as POSCAR:
```
Fe6Co2Si
1.0
4.428 -0.631 -0.472
-1.347 6.741 4.799
-1.778 1.250 8.097
Fe Co Si
12 4 2
Direct
0.518 0.593 0.563
0.982 0.437 0.407
0.482 0.407 0.437
0.018 0.563 0.593
0.905 0.968 0.372
0.595 0.628 0.032
0.095 0.032 0.628
0.405 0.372 0.968
0.189 0.776 0.054
0.311 0.946 0.224
0.811 0.224 0.946
0.689 0.054 0.776
0.961 0.640 0.812
0.539 0.188 0.360
0.039 0.360 0.188
0.461 0.812 0.640
0.250 0.202 0.798
0.750 0.798 0.202
```

Output
Symmetry: C2/c
Magnetic moment in μB/atom: 1.86
Energy relative to the elements, uncorrected in kJ/mol of formula units: -10

5.
An optimized crystal structure of LaTa2Br, computed with PBE-GGA.

Cell and atoms, written as POSCAR:
```
LaTa2Br
1.0
5.099 0.007 0.000
0.450 5.079 0.000
-2.774 -2.543 3.440
La Br Ta
1 1 2
Direct
0.750 0.250 0.500
0.500 0.500 0.000
0.000 0.000 0.000
0.250 0.750 0.500
```

Output
Symmetry: I-4m2
Distance to the lowest polymorph of the same formula in meV/atom: 693
Magnetic moment in μB/atom: 0.00
Energy relative to the elements, uncorrected in kJ/mol of formula units: 239

6.
An optimized crystal structure of BaGa2HgBr8, computed with PBE-GGA.

Cell and atoms, written as POSCAR:
```
BaGa2HgBr8
1.0
7.175 0.000 0.000
3.587 6.213 0.000
3.587 2.071 12.170
Ba Ga Hg Br
1 2 1 8
Direct
0.000 0.000 0.000
0.257 0.257 0.230
0.743 0.743 0.770
0.500 0.500 0.500
0.194 0.194 0.418
0.570 0.321 0.157
0.806 0.806 0.582
0.952 0.570 0.157
0.048 0.430 0.843
0.321 0.952 0.157
0.679 0.048 0.843
0.430 0.679 0.843
```

Output
Symmetry: R-3
Magnetic moment in μB/atom: 0.00
Energy relative to the elements, uncorrected in kJ/mol of formula units: -1246